## Ce7HgAu4 (PBE-GGA)

Data for a relaxed Ce7HgAu4 crystal.

Structure (extended XYZ):
```
12
Lattice="5.760 0.000 0.000 2.880 7.753 1.087 2.880 1.088 7.159" Properties=species:S:1:pos:R:3 pbc="T T T"
Au 5.760 5.794 3.353
Ce 5.760 2.497 2.062
Hg 0.000 0.000 0.000
Ce 5.760 6.344 6.184
Au 2.880 2.815 0.748
Ce 2.880 1.134 3.710
Ce 2.880 0.000 0.000
Ce 8.640 7.707 4.536
Ce 8.640 3.893 5.427
Au 8.640 6.026 7.498
Ce 2.880 4.948 2.819
Au 5.760 3.047 4.893
```

Total DFT energy (no corrections): -4.921 eV/atom
ΔE_f: -342 meV/atom
N(E_F): 2.712 states/eV/atom
Crystal system: monoclinic
SG: C2/m (12)

## CeHgAu (PBE-GGA)

Data for a relaxed CeHgAu crystal.

Structure (extended XYZ):
```
3
Lattice="3.357 0.000 0.000 0.000 4.946 0.000 0.000 -2.473 4.283" Properties=species:S:1:pos:R:3 pbc="T T T"
Hg 0.560 0.000 0.000
Ce 2.238 2.473 1.428
Au 0.559 0.000 2.855
```

Total DFT energy (no corrections): -3.705 eV/atom
ΔE_f: -534 meV/atom
N(E_F): 1.841 states/eV/atom
Crystal system: hexagonal
SG: P-6m2 (187)

## Ce6Hg5Au (PBE-GGA)

Data for a relaxed Ce6Hg5Au crystal.

Structure (extended XYZ):
```
12
Lattice="-4.493 1.643 -2.715 -2.328 -6.958 -0.358 -6.672 -1.937 5.679" Properties=species:S:1:pos:R:3 pbc="T T T"
Au 0.000 0.000 0.000
Hg -5.389 -6.004 1.006
Ce -6.523 -3.735 3.082
Ce -10.691 -6.413 4.049
Ce -5.772 0.065 -0.292
Hg -1.164 -3.479 -0.179
Hg -9.316 -4.715 1.510
Ce -7.720 -7.317 2.898
Ce -2.802 -0.839 -1.443
Hg -4.177 -2.537 1.096
Ce -6.970 -3.517 -0.476
Hg -8.104 -1.248 1.600
```

Total DFT energy (no corrections): -3.704 eV/atom
ΔE_f: -339 meV/atom
N(E_F): 3.298 states/eV/atom
Crystal system: monoclinic
SG: C2/m (12)

## Ce4HgAu7 (PBE-GGA)

Data for a relaxed Ce4HgAu7 crystal.

Structure (extended XYZ):
```
12
Lattice="5.204 0.000 0.000 2.602 8.349 1.100 2.602 1.040 7.175" Properties=species:S:1:pos:R:3 pbc="T T T"
Au 2.602 5.516 1.898
Ce 5.204 6.688 3.556
Au 2.602 0.945 4.183
Au 7.806 8.444 4.092
Au 7.806 3.874 6.377
Ce 7.806 6.897 6.697
Ce 2.602 2.493 1.578
Hg 0.000 0.000 0.000
Au 5.204 4.012 2.048
Ce 5.204 2.702 4.719
Au 5.204 5.377 6.227
Au 2.602 0.000 0.000
```

Total DFT energy (no corrections): -4.390 eV/atom
ΔE_f: -475 meV/atom
N(E_F): 2.590 states/eV/atom
Crystal system: monoclinic
SG: C2/m (12)

## Ce3Hg3Au2 (PBE-GGA)

Data for a relaxed Ce3Hg3Au2 crystal.

Structure (extended XYZ):
```
8
Lattice="4.739 0.000 0.000 0.000 4.980 -0.319 -2.370 -1.929 8.553" Properties=species:S:1:pos:R:3 pbc="T T T"
Ce 0.000 0.000 0.000
Hg 0.000 2.899 5.967
Hg 2.370 2.490 -0.160
Au 0.000 0.263 4.068
Hg 2.370 0.152 2.267
Ce 0.000 2.642 2.212
Ce 2.370 0.408 6.022
Au 2.370 2.788 4.166
```

Total DFT energy (no corrections): -3.557 eV/atom
ΔE_f: -399 meV/atom
N(E_F): 2.328 states/eV/atom
Crystal system: monoclinic
SG: C2/m (12)
ΔE to the lowest computed polymorph: 90 meV/atom

## Ce4HgAu2 (PBE-GGA)

Data for a relaxed Ce4HgAu2 crystal.

Structure (extended XYZ):
```
7
Lattice="5.097 0.000 0.000 2.548 4.414 0.000 2.548 1.471 8.458" Properties=species:S:1:pos:R:3 pbc="T T T"
Au 2.548 1.471 5.537
Ce 2.548 1.471 2.619
Au 7.645 4.414 2.922
Ce 7.645 4.414 5.839
Ce 5.097 2.943 1.369
Hg 0.000 0.000 0.000
Ce 5.097 2.943 7.089
```

Total DFT energy (no corrections): -4.574 eV/atom
ΔE_f: -204 meV/atom
N(E_F): 3.004 states/eV/atom
Crystal system: trigonal
SG: R-3m (166)

## Ce3Hg5Au2 (PBE-GGA)

Data for a relaxed Ce3Hg5Au2 crystal.

Structure (extended XYZ):
```
20
Lattice="6.319 0.000 0.000 3.160 9.032 -1.769 3.160 0.691 9.178" Properties=species:S:1:pos:R:3 pbc="T T T"
Hg 6.319 2.304 4.292
Hg 7.899 2.438 1.858
Hg 6.319 7.419 3.117
Au 6.319 8.903 0.786
Ce 3.160 1.768 5.363
Hg 7.899 4.862 3.704
Au 3.160 6.603 -0.967
Hg 7.899 7.285 5.551
Ce 6.319 5.639 0.281
Au 6.319 0.820 6.623
Ce 4.740 0.000 0.000
Ce 1.580 0.000 0.000
Ce 6.319 4.084 7.127
Au 9.479 3.120 8.376
Hg 4.740 4.862 3.704
Hg 9.479 4.974 6.326
Hg 4.740 2.438 1.858
Ce 9.479 7.955 2.046
Hg 3.160 4.749 1.082
Hg 4.740 7.285 5.551
```

Total DFT energy (no corrections): -2.808 eV/atom
ΔE_f: -221 meV/atom
N(E_F): 2.452 states/eV/atom
Crystal system: orthorhombic
SG: Ibam (72)

## Ce3HgAu (PBE-GGA)

Data for a relaxed Ce3HgAu crystal.

Structure (extended XYZ):
```
20
Lattice="6.502 0.313 -0.662 3.457 5.515 -0.662 2.971 1.739 14.992" Properties=species:S:1:pos:R:3 pbc="T T T"
Ce 7.067 6.459 13.358
Au 6.596 5.263 10.582
Hg 6.111 4.725 4.757
Ce 7.996 6.108 7.930
Au 3.251 0.157 -0.331
Ce 5.174 4.456 13.234
Hg 4.332 3.684 1.415
Au 6.334 2.304 3.086
Hg 6.819 2.842 8.911
Hg 8.597 3.883 12.253
Au 3.214 3.627 7.165
Ce 5.322 5.438 7.806
Ce 9.328 4.842 3.501
Ce 7.607 2.129 5.862
Ce 7.756 3.111 0.434
Ce 2.655 0.936 2.670
Ce 5.863 1.108 0.310
Ce 3.602 2.726 10.166
Ce 4.933 1.459 5.737
Ce 10.275 6.631 10.998
```

Total DFT energy (no corrections): -4.519 eV/atom
ΔE_f: -243 meV/atom
N(E_F): 2.643 states/eV/atom
Crystal system: monoclinic
SG: C2/c (15)
ΔE to the lowest computed polymorph: 27 meV/atom

## Ce7HgAu2 (PBE-GGA)

Data for a relaxed Ce7HgAu2 crystal.

Structure (extended XYZ):
```
10
Lattice="4.903 0.000 0.000 0.000 8.814 -0.478 0.000 -4.317 7.699" Properties=species:S:1:pos:R:3 pbc="T T T"
Hg 0.000 0.000 0.000
Ce 2.451 -0.835 2.104
Au 2.451 -0.186 5.127
Ce 2.451 2.257 0.179
Ce 0.000 5.865 1.358
Ce 2.451 2.240 7.042
Ce 2.451 5.332 5.117
Ce 0.000 -1.368 5.863
Au 2.451 4.683 2.095
Ce 2.451 2.248 3.611
```

Total DFT energy (no corrections): -4.742 eV/atom
ΔE_f: 97 meV/atom
N(E_F): 3.403 states/eV/atom
Crystal system: orthorhombic
SG: Cmmm (65)

## Ce2Hg3Au4 (PBE-GGA)

Data for a relaxed Ce2Hg3Au4 crystal.

Structure (extended XYZ):
```
9
Lattice="4.969 0.000 0.001 2.484 4.307 0.172 -0.001 -0.338 9.634" Properties=species:S:1:pos:R:3 pbc="T T T"
Hg 0.000 0.000 0.000
Au 4.969 -0.205 6.257
Au 4.968 2.570 8.838
Hg 2.484 1.284 4.071
Ce 4.969 2.787 2.276
Ce 2.484 1.182 7.531
Hg 4.968 2.686 5.736
Au 2.484 1.400 0.969
Au 2.483 4.174 3.550
```

Total DFT energy (no corrections): -3.315 eV/atom
ΔE_f: -439 meV/atom
N(E_F): 1.674 states/eV/atom
Crystal system: monoclinic
SG: C2/m (12)

## CeHgAu (PBE-GGA)

Data for a relaxed CeHgAu crystal.

Structure (extended XYZ):
```
6
Lattice="4.361 0.000 0.000 0.000 5.371 0.251 -2.181 -1.171 6.438" Properties=species:S:1:pos:R:3 pbc="T T T"
Ce 0.000 3.982 1.743
Ce 2.181 0.218 4.946
Au 2.180 3.070 3.651
Au 0.000 1.130 3.039
Hg 2.180 1.322 0.963
Hg 0.000 2.878 5.726
```

Total DFT energy (no corrections): -3.628 eV/atom
ΔE_f: -457 meV/atom
N(E_F): 2.414 states/eV/atom
Crystal system: monoclinic
SG: C2/m (12)

## CeHgAu (PBE-GGA)

Data for a relaxed CeHgAu crystal.

Structure (extended XYZ):
```
3
Lattice="-4.470 -1.868 -0.670 -2.408 -1.991 3.763 -3.905 2.267 1.880" Properties=species:S:1:pos:R:3 pbc="T T T"
Hg 0.000 0.000 0.000
Au -2.696 -0.398 1.243
Ce -5.392 -0.796 2.486
```

Total DFT energy (no corrections): -3.612 eV/atom
ΔE_f: -441 meV/atom
N(E_F): 2.379 states/eV/atom
Crystal system: cubic
SG: F-43m (216)